1.
DFT (PBE) results for an optimized crystal structure of CuPt2Pb.

The structure in CIF format:
```
data_CuPt2Pb
_chemical_formula_sum 'Cu2 Pt4 Pb2'
_symmetry_space_group_name_H-M 'C 1 2/m 1'
_symmetry_Int_Tables_number 12
_symmetry_space_group_name_Hall '-C 2y'
_cell_length_a 5.7711
_cell_length_b 5.7677
_cell_length_c 4.0800
_cell_angle_alpha 90.00
_cell_angle_beta 90.19
_cell_angle_gamma 90.00
loop_
_atom_site_label
_atom_site_type_symbol
_atom_site_fract_x
_atom_site_fract_y
_atom_site_fract_z
Cu1 Cu 0.0000 0.0000 0.0000
Pt1 Pt 0.2500 0.2500 0.5000
Pb1 Pb 0.0000 0.5000 0.0000
```

Results
The value obtained for the energy relative to the elements is -46 meV/atom.

***

2.
DFT (PBE) results for an optimized crystal structure of H3OsI.

The structure in CIF format:
```
data_H3OsI
_chemical_formula_sum 'H3 Os1 I1'
_symmetry_space_group_name_H-M 'P m -3 m'
_symmetry_Int_Tables_number 221
_symmetry_space_group_name_Hall '-P 4 2 3'
_cell_length_a 3.7535
_cell_length_b 3.7535
_cell_length_c 3.7535
_cell_angle_alpha 90.00
_cell_angle_beta 90.00
_cell_angle_gamma 90.00
loop_
_atom_site_label
_atom_site_type_symbol
_atom_site_fract_x
_atom_site_fract_y
_atom_site_fract_z
H1 H 0.0000 0.0000 0.5000
Os1 Os 0.0000 0.0000 0.0000
I1 I 0.5000 0.5000 0.5000
```

Results
The polymorph energy (0 for the lowest one) is 0 meV per atom.

***

3.
DFT (PBE) results for an optimized crystal structure of NpPaSnPd.

The structure in CIF format:
```
data_NpPaSnPd
_chemical_formula_sum 'Np4 Pa4 Sn4 Pd4'
_symmetry_space_group_name_H-M 'F -4 3 m'
_symmetry_Int_Tables_number 216
_symmetry_space_group_name_Hall 'F -4 2 3'
_cell_length_a 7.1031
_cell_length_b 7.1031
_cell_length_c 7.1031
_cell_angle_alpha 90.00
_cell_angle_beta 90.00
_cell_angle_gamma 90.00
loop_
_atom_site_label
_atom_site_type_symbol
_atom_site_fract_x
_atom_site_fract_y
_atom_site_fract_z
Np1 Np 0.0000 0.0000 0.0000
Pa1 Pa 0.2500 0.2500 0.2500
Sn1 Sn 0.2500 0.2500 0.7500
Pd1 Pd 0.0000 0.0000 0.5000
```

Results
The value obtained for the energy relative to the elements is -24 meV/atom.

***

4.
DFT (PBE) results for an optimized crystal structure of LaSn3Ru.

The structure in CIF format:
```
data_LaSn3Ru
_chemical_formula_sum 'La2 Sn6 Ru2'
_symmetry_space_group_name_H-M 'A m m 2'
_symmetry_Int_Tables_number 38
_symmetry_space_group_name_Hall 'A 2 -2'
_cell_length_a 4.6747
_cell_length_b 4.7799
_cell_length_c 11.4650
_cell_angle_alpha 90.00
_cell_angle_beta 90.00
_cell_angle_gamma 90.00
loop_
_atom_site_label
_atom_site_type_symbol
_atom_site_fract_x
_atom_site_fract_y
_atom_site_fract_z
La1 La 0.0000 0.0000 0.0000
Sn1 Sn 0.0000 0.0000 0.7083
Sn2 Sn 0.5000 0.0000 0.1984
Sn3 Sn 0.5000 0.0000 0.4678
Ru1 Ru 0.0000 0.0000 0.3193
```

Results
The value obtained for the energy relative to the elements is -401 meV/atom.

***

5.
DFT (PBE) results for an optimized crystal structure of Co2PbSeCl.

The structure in CIF format:
```
data_Co2PbSeCl
_chemical_formula_sum 'Co2 Pb1 Se1 Cl1'
_symmetry_space_group_name_H-M 'P 4/m m m'
_symmetry_Int_Tables_number 123
_symmetry_space_group_name_Hall '-P 4 2'
_cell_length_a 5.1453
_cell_length_b 5.1453
_cell_length_c 5.3734
_cell_angle_alpha 90.00
_cell_angle_beta 90.00
_cell_angle_gamma 90.00
loop_
_atom_site_label
_atom_site_type_symbol
_atom_site_fract_x
_atom_site_fract_y
_atom_site_fract_z
Co1 Co 0.0000 0.5000 0.0000
Pb1 Pb 0.0000 0.0000 0.0000
Se1 Se 0.0000 0.0000 0.5000
Cl1 Cl 0.5000 0.5000 0.5000
```

Results
Its energy relative to the elements, uncorrected is 6.20 eV/f.u.

***

6.
DFT (PBE) results for an optimized crystal structure of Ce3Te3N.

The structure in CIF format:
```
data_Ce3Te3N
_chemical_formula_sum 'Ce12 Te12 N4'
_symmetry_space_group_name_H-M 'C 1 2/m 1'
_symmetry_Int_Tables_number 12
_symmetry_space_group_name_Hall '-C 2y'
_cell_length_a 8.7012
_cell_length_b 12.7471
_cell_length_c 7.7244
_cell_angle_alpha 90.00
_cell_angle_beta 102.41
_cell_angle_gamma 90.00
loop_
_atom_site_label
_atom_site_type_symbol
_atom_site_fract_x
_atom_site_fract_y
_atom_site_fract_z
Ce1 Ce 0.0976 0.0000 0.3347
Ce2 Ce 0.2044 0.3559 0.2184
Te1 Te 0.0000 0.1641 0.0000
Te2 Te 0.0000 0.2497 0.5000
Te3 Te 0.1109 0.5000 0.8454
N1 N 0.1722 0.0000 0.6482
```

Results
Its energy relative to the elements, uncorrected is -9.89 eV/f.u.

***

7.
DFT (PBE) results for an optimized crystal structure of B3TePt.

The structure in CIF format:
```
data_B3TePt
_chemical_formula_sum 'B3 Te1 Pt1'
_symmetry_space_group_name_H-M 'P m -3 m'
_symmetry_Int_Tables_number 221
_symmetry_space_group_name_Hall '-P 4 2 3'
_cell_length_a 4.2523
_cell_length_b 4.2523
_cell_length_c 4.2523
_cell_angle_alpha 90.00
_cell_angle_beta 90.00
_cell_angle_gamma 90.00
loop_
_atom_site_label
_atom_site_type_symbol
_atom_site_fract_x
_atom_site_fract_y
_atom_site_fract_z
B1 B 0.0000 0.0000 0.5000
Te1 Te 0.5000 0.5000 0.5000
Pt1 Pt 0.0000 0.0000 0.0000
```

Results
The polymorph energy (0 for the lowest one) is 0 meV per atom. Its energy relative to the elements, uncorrected is 5.64 eV/f.u.

***

8.
DFT (PBE) results for an optimized crystal structure of Nd4Ag3Ir.

The structure in CIF format:
```
data_Nd4Ag3Ir
_chemical_formula_sum 'Nd4 Ag3 Ir1'
_symmetry_space_group_name_H-M 'P 4/m m m'
_symmetry_Int_Tables_number 123
_symmetry_space_group_name_Hall '-P 4 2'
_cell_length_a 3.6670
_cell_length_b 3.6670
_cell_length_c 15.1126
_cell_angle_alpha 90.00
_cell_angle_beta 90.00
_cell_angle_gamma 90.00
loop_
_atom_site_label
_atom_site_type_symbol
_atom_site_fract_x
_atom_site_fract_y
_atom_site_fract_z
Nd1 Nd 0.0000 0.0000 0.1102
Nd2 Nd 0.0000 0.0000 0.3705
Ag1 Ag 0.5000 0.5000 0.2451
Ag2 Ag 0.5000 0.5000 0.5000
Ir1 Ir 0.5000 0.5000 0.0000
```

Results
The value obtained for the energy relative to the elements is -349 meV/atom.

***

What did the fourth record say?
DFT (PBE) results for an optimized crystal structure of LaSn3Ru.

The structure in CIF format:
```
data_LaSn3Ru
_chemical_formula_sum 'La2 Sn6 Ru2'
_symmetry_space_group_name_H-M 'A m m 2'
_symmetry_Int_Tables_number 38
_symmetry_space_group_name_Hall 'A 2 -2'
_cell_length_a 4.6747
_cell_length_b 4.7799
_cell_length_c 11.4650
_cell_angle_alpha 90.00
_cell_angle_beta 90.00
_cell_angle_gamma 90.00
loop_
_atom_site_label
_atom_site_type_symbol
_atom_site_fract_x
_atom_site_fract_y
_atom_site_fract_z
La1 La 0.0000 0.0000 0.0000
Sn1 Sn 0.0000 0.0000 0.7083
Sn2 Sn 0.5000 0.0000 0.1984
Sn3 Sn 0.5000 0.0000 0.4678
Ru1 Ru 0.0000 0.0000 0.3193
```

Results
The value obtained for the energy relative to the elements is -401 meV/atom.